Material: LaCuSb2
Method: DFT, PBE-GGA
State: optimized geometry

Unit cell a=9.623 b=9.623 c=9.623 alpha=20.94 beta=20.94 gamma=20.94
Element x y z (fractional)
La (0.000, 0.000, 0.000)
Cu (0.500, 0.500, 0.500)
Sb (0.233, 0.233, 0.233)
Sb (0.767, 0.767, 0.767)

Values from the calculation:
volume	24.9	Å³ per atom
formation energy from raw total energies	-62	kJ/mol of formula units
crystal system	trigonal
space group	R-3m (166)
calculated density	7.43	g/cm³